Record 1
The following is a PBE-GGA calculation of a geometry-optimized SrY2AgO structure, from the Alexandria database.

Cell lengths 4.7312, 4.7312, 5.3090 Å; angles 90.00, 90.00, 90.00 degrees
Last column: nearest neighbours and their distance in Å.
Element x y z (fractional)
Sr 0.0000 0.0000 0.0000  2 O 2.65
Y 0.0000 0.5000 0.5000  2 O 2.37
Y 0.5000 0.0000 0.5000  2 O 2.37
Ag 0.5000 0.5000 0.0000  4 Sr 3.35, 8 Y 3.56
O 0.0000 0.0000 0.5000  4 Y 2.37

Results
calculated volume: 118.84 Å³ per cell
symmetry: P4/mmm
magnetic moment: 0.000 Bohr magnetons per cell
formation energy from raw total energies: -1117.0 meV per atom
theoretical density: 5.440 Mg/m³

Record 2
The following is a PBE-GGA calculation of a geometry-optimized Sr2ZnAgO4 structure, from the Alexandria database.

Cell lengths 5.4483, 5.4483, 5.4483 Å; angles 111.06, 111.06, 106.34 degrees
Last column: nearest neighbours and their distance in Å.
Element x y z (fractional)
Sr 0.0000 0.0000 0.0000  8 O 2.66-2.97
Sr 0.7500 0.2500 0.5000  4 O 2.41
Zn 0.5000 0.5000 0.0000  4 O 2.01
Ag 0.2500 0.7500 0.5000  4 O 2.18
O 0.1468 0.1202 0.6248  1 Zn 2.01, 1 Ag 2.18
O 0.4780 0.8532 0.9734  1 Zn 2.01, 1 Ag 2.18
O 0.4954 0.5220 0.3752  1 Zn 2.01, 1 Ag 2.18
O 0.8798 0.5046 0.0266  1 Zn 2.01, 1 Ag 2.18

Results
calculated volume: 124.22 Å³ per cell
symmetry: I-4
magnetic moment: 1.046 Bohr magnetons per cell
formation energy from raw total energies: -1605.6 meV per atom
theoretical density: 5.514 Mg/m³